Here is a relaxed CeZr2Pd9 crystal from Alexandria via LeMat-Bulk. Energies are from GGA-PBE.

Calculated values
electronic total energy: -79.34 eV for the cell shown
formation energy: -77.0 kJ per mole of atoms
magnetization: 0.53 μB/cell
SG: P4/mmm (123)

Cell lengths 4.0791, 4.0791, 12.2336 Å; angles 90.00, 90.00, 90.00 degrees
Atoms (fractional coordinates):
Ce 0.0000 0.0000 0.0000
Zr 0.0000 0.0000 0.3358
Zr 0.0000 0.0000 0.6642
Pd 0.0000 0.5000 0.1752
Pd 0.0000 0.5000 0.5000
Pd 0.0000 0.5000 0.8248
Pd 0.5000 0.0000 0.1752
Pd 0.5000 0.0000 0.5000
Pd 0.5000 0.0000 0.8248
Pd 0.5000 0.5000 0.0000
Pd 0.5000 0.5000 0.3382
Pd 0.5000 0.5000 0.6618